Record 1
This record from Alexandria describes a relaxed structure of Zr2Tl2Cu. The functional is GGA-PBE.

Summary:
density of states at the Fermi level: 2.85 states/eV/f.u.
DFT formation energy: 0.1406 eV per atom

Lattice parameters (Å, degrees): 6.965 6.965 4.547 90.00 90.00 90.00
Fractional positions:
Tl (0.648, 0.148, 0.000)
Tl (0.148, 0.352, 0.000)
Tl (0.852, 0.648, 0.000)
Tl (0.352, 0.852, 0.000)
Zr (0.837, 0.337, 0.500)
Zr (0.163, 0.663, 0.500)
Zr (0.337, 0.163, 0.500)
Zr (0.663, 0.837, 0.500)
Cu (0.000, 0.000, 0.000)
Cu (0.500, 0.500, 0.000)

Record 2
This record from Alexandria describes a relaxed structure of TmCu. The functional is GGA-PBE.

Summary:
density of states at the Fermi level: 1.40 states/eV/f.u.
DFT formation energy: -0.2896 eV per atom

Lattice parameters (Å, degrees): 3.418 3.418 3.418 90.00 90.00 90.00
Fractional positions:
Tm (0.000, 0.000, 0.000)
Cu (0.500, 0.500, 0.500)

Record 3
This record from Alexandria describes a relaxed structure of Tm3Cu2. The functional is GGA-PBE.

Summary:
density of states at the Fermi level: 5.32 states/eV/f.u.
DFT formation energy: -0.1099 eV per atom

Lattice parameters (Å, degrees): 4.783 7.581 10.138 89.97 90.00 108.39
Fractional positions:
Tm (0.161, 0.322, 0.659)
Tm (0.500, 0.000, 0.000)
Tm (0.167, 0.334, 0.990)
Tm (0.828, 0.656, 0.675)
Tm (0.498, 0.996, 0.666)
Tm (0.833, 0.666, 0.010)
Tm (0.172, 0.344, 0.325)
Tm (0.839, 0.678, 0.341)
Tm (0.502, 0.004, 0.334)
Cu (0.005, 0.010, 0.165)
Cu (0.670, 0.339, 0.494)
Cu (0.330, 0.661, 0.506)
Cu (0.665, 0.331, 0.167)
Cu (0.995, 0.990, 0.835)
Cu (0.335, 0.669, 0.833)

Record 4
This record from Alexandria describes a relaxed structure of Tm3Cu2. The functional is GGA-PBE.

Summary:
density of states at the Fermi level: 4.11 states/eV/f.u.
DFT formation energy: -0.2194 eV per atom

Lattice parameters (Å, degrees): 3.422 3.422 18.748 90.00 90.00 90.00
Fractional positions:
Cu (0.500, 0.500, 0.225)
Cu (0.500, 0.500, 0.409)
Cu (0.500, 0.500, 0.775)
Cu (0.500, 0.500, 0.591)
Tm (0.000, 0.000, 0.684)
Tm (0.000, 0.000, 0.865)
Tm (0.000, 0.000, 0.135)
Tm (0.000, 0.000, 0.500)
Tm (0.000, 0.000, 0.316)
Tm (0.500, 0.500, 0.000)